DFT (PBE) results for a relaxed structure of Li3DyAg3.

Computed properties:
magnetization: 0.000 μB/atom
electronic total energy: -2.462 eV/atom
space group: Pm-3n
DFT formation energy: 0.24 eV per atom

Geometry as POSCAR:
```
Li3DyAg3
1.0
-3.835 -4.310 3.475
0.026 -4.241 -5.232
5.536 -2.966 2.432
Li Dy Ag
6 2 6
direct
0.000 0.500 0.750
0.500 0.750 0.000
0.250 0.000 0.500
0.750 0.000 0.500
0.500 0.250 0.000
0.000 0.500 0.250
0.500 0.500 0.500
0.000 0.000 0.000
0.000 0.250 0.500
0.750 0.500 0.000
0.500 0.000 0.750
0.500 0.000 0.250
0.250 0.500 0.000
0.000 0.750 0.500
```